VASP calculation (PBE) on a geometry-optimized Ce2Nd8Y structure.

Lattice parameters (Å, degrees): 9.485 9.485 9.485 145.31 127.46 64.51
Element x y z (fractional)
Ce 0.201 0.201 0.000
Ce 0.799 0.799 0.000
Nd 0.066 0.361 0.705
Nd 0.202 0.000 0.202
Nd 0.343 0.843 0.500
Nd 0.344 0.639 0.705
Nd 0.656 0.361 0.295
Nd 0.657 0.157 0.500
Nd 0.798 0.000 0.798
Nd 0.934 0.639 0.295
Y 0.500 0.500 0.000

Computed properties:
Size of the total moment (μB/f.u.): 1.607
Space group: Immm (71)
Formation energy from the elements (kJ per mole of atoms): 15

---

VASP calculation (PBE) on a geometry-optimized NaHg3As structure.

Lattice parameters (Å, degrees): 5.674 5.674 5.674 90.00 90.00 90.00
Element x y z (fractional)
Na 0.000 0.000 0.000
Hg 0.000 0.000 0.500
Hg 0.000 0.500 0.000
Hg 0.500 0.000 0.000
As 0.500 0.500 0.500

Computed properties:
Size of the total moment (μB/f.u.): 2.175
Space group: Pm-3m (221)
Formation energy from the elements (kJ per mole of atoms): 50
E above lowest polymorph (meV per atom): 391

---

VASP calculation (PBE) on a geometry-optimized LaGd2N structure.

Lattice parameters (Å, degrees): 10.015 10.015 10.015 20.15 20.15 20.15
Element x y z (fractional)
La 0.000 0.000 0.000
Gd 0.121 0.121 0.121
Gd 0.879 0.879 0.879
N 0.500 0.500 0.500

Computed properties:
Size of the total moment (μB/f.u.): 15.075
Space group: R-3m (166)
E above lowest polymorph (meV per atom): 0

---

VASP calculation (PBE) on a geometry-optimized KThIn2 structure.

Lattice parameters (Å, degrees): 3.532 3.532 10.156 90.00 90.00 90.00
Element x y z (fractional)
K 0.000 0.000 0.000
Th 0.000 0.000 0.500
In 0.500 0.500 0.272
In 0.500 0.500 0.728

Computed properties:
Size of the total moment (μB/f.u.): 0.000
Space group: P4/mmm (123)
Formation energy from the elements (kJ per mole of atoms): -11
E above lowest polymorph (meV per atom): 0

---

VASP calculation (PBE) on a geometry-optimized KSeF structure.

Lattice parameters (Å, degrees): 3.531 7.350 7.644 82.29 90.00 76.31
Element x y z (fractional)
K 0.000 0.000 0.000
K 0.032 0.935 0.538
Se 0.220 0.568 0.273
Se 0.837 0.332 0.266
F 0.473 0.055 0.265
F 0.520 0.960 0.770

Computed properties:
Total DFT energy (no corrections) (eV/atom): -3.783
Size of the total moment (μB/f.u.): 0.000
Space group: P1 (1)

---

VASP calculation (PBE) on a geometry-optimized Ta2FePt structure.

Lattice parameters (Å, degrees): 3.246 3.246 6.064 90.00 90.00 90.00
Element x y z (fractional)
Ta 0.000 0.000 0.000
Ta 0.500 0.500 0.293
Fe 0.000 0.000 0.503
Pt 0.500 0.500 0.760

Computed properties:
Size of the total moment (μB/f.u.): 1.645
Space group: P4mm (99)
Formation energy from the elements (kJ per mole of atoms): -30
E above lowest polymorph (meV per atom): 58

---

VASP calculation (PBE) on a geometry-optimized Ba2SrY2 structure.

Lattice parameters (Å, degrees): 10.439 10.439 4.097 90.00 90.00 90.00
Element x y z (fractional)
Ba 0.128 0.372 0.000
Ba 0.372 0.872 0.000
Ba 0.628 0.128 0.000
Ba 0.872 0.628 0.000
Sr 0.000 0.000 0.000
Sr 0.500 0.500 0.000
Y 0.171 0.671 0.500
Y 0.329 0.171 0.500
Y 0.671 0.829 0.500
Y 0.829 0.329 0.500

Computed properties:
Size of the total moment (μB/f.u.): 0.000
Space group: P4/mbm (127)
Formation energy from the elements (kJ per mole of atoms): 33
E above lowest polymorph (meV per atom): 46

---

VASP calculation (PBE) on a geometry-optimized Tm2Tl3Te6Pb structure.

Lattice parameters (Å, degrees): 7.834 7.834 8.287 99.07 99.07 120.10
Element x y z (fractional)
Tm 0.170 0.830 0.000
Tm 0.830 0.170 0.000
Tl 0.000 0.000 0.500
Tl 0.340 0.660 0.500
Tl 0.660 0.340 0.500
Te 0.073 0.425 0.778
Te 0.217 0.217 0.213
Te 0.425 0.073 0.778
Te 0.575 0.927 0.222
Te 0.783 0.783 0.787
Te 0.927 0.575 0.222
Pb 0.500 0.500 0.000

Computed properties:
Total DFT energy (no corrections) (eV/atom): -3.991
Size of the total moment (μB/f.u.): 0.000
Space group: C2/m (12)

---

Question: Which formula does entry 6 have?
Answer: Ta2FePt

---

Repeat the eighth record exactly.
VASP calculation (PBE) on a geometry-optimized Tm2Tl3Te6Pb structure.

Lattice parameters (Å, degrees): 7.834 7.834 8.287 99.07 99.07 120.10
Element x y z (fractional)
Tm 0.170 0.830 0.000
Tm 0.830 0.170 0.000
Tl 0.000 0.000 0.500
Tl 0.340 0.660 0.500
Tl 0.660 0.340 0.500
Te 0.073 0.425 0.778
Te 0.217 0.217 0.213
Te 0.425 0.073 0.778
Te 0.575 0.927 0.222
Te 0.783 0.783 0.787
Te 0.927 0.575 0.222
Pb 0.500 0.500 0.000

Computed properties:
Total DFT energy (no corrections) (eV/atom): -3.991
Size of the total moment (μB/f.u.): 0.000
Space group: C2/m (12)

---

Repeat the first record exactly.
VASP calculation (PBE) on a geometry-optimized Ce2Nd8Y structure.

Lattice parameters (Å, degrees): 9.485 9.485 9.485 145.31 127.46 64.51
Element x y z (fractional)
Ce 0.201 0.201 0.000
Ce 0.799 0.799 0.000
Nd 0.066 0.361 0.705
Nd 0.202 0.000 0.202
Nd 0.343 0.843 0.500
Nd 0.344 0.639 0.705
Nd 0.656 0.361 0.295
Nd 0.657 0.157 0.500
Nd 0.798 0.000 0.798
Nd 0.934 0.639 0.295
Y 0.500 0.500 0.000

Computed properties:
Size of the total moment (μB/f.u.): 1.607
Space group: Immm (71)
Formation energy from the elements (kJ per mole of atoms): 15

---

Question: size of the total moment of number 3 (LaGd2N)?
Answer: 15.075 μB/f.u.